## Ho2MgNb (PBE)

Data for a geometry-optimized Ho2MgNb structure.

Its energy above the most stable polymorph in this dataset is 0.00 eV per formula unit.

The space group is P4/mmm (No. 123) and the conventional cell measures 3.318, 3.318 and 9.221 Å, with angles of 90.00, 90.00 and 90.00 degrees. The distinct sites, in fractional coordinates, are Ho at (0.000, 0.000, 0.230), Mg at (0.500, 0.500, 0.500) and Nb at (0.500, 0.500, 0.000).

## NdHo3Mg8 (PBE)

Data for a geometry-optimized NdHo3Mg8 structure.

The space group is P3m1 (No. 156) and the conventional cell measures 6.0758, 6.0758 and 9.7948 Å, with angles of 90.00, 90.00 and 120.00 degrees. The distinct sites, in fractional coordinates, are Nd at (0.0000, 0.0000, 0.0000), Ho at (0.0000, 0.0000, 0.3735), Ho at (0.6667, 0.3333, 0.4966), Ho at (0.6667, 0.3333, 0.8658), Mg at (0.1630, 0.3260, 0.6826), Mg at (0.3333, 0.6667, 0.4342), Mg at (0.3333, 0.6667, 0.9341) and Mg at (0.5044, 0.0088, 0.1858).

## Nd3Ho2Mg3 (PBE)

Data for a geometry-optimized Nd3Ho2Mg3 structure.

The space group is Immm (No. 71) and the conventional cell measures 3.805, 5.548 and 22.643 Å, with angles of 90.00, 90.00 and 90.00 degrees. The distinct sites, in fractional coordinates, are Nd at (0.000, 0.000, 0.000), Nd at (0.000, 0.500, 0.126), Ho at (0.000, 0.000, 0.236), Mg at (0.000, 0.000, 0.500) and Mg at (0.000, 0.500, 0.380).

## NdHo3Mg2 (PBE)

Data for a geometry-optimized NdHo3Mg2 structure.

The space group is P4/mmm (No. 123) and the conventional cell measures 3.660, 3.660 and 13.035 Å, with angles of 90.00, 90.00 and 90.00 degrees. The distinct sites, in fractional coordinates, are Nd at (0.000, 0.000, 0.000), Ho at (0.500, 0.500, 0.193), Ho at (0.500, 0.500, 0.500) and Mg at (0.000, 0.000, 0.349).

## Nd6HoMg5 (PBE)

Data for a geometry-optimized Nd6HoMg5 structure.

The space group is P2/m (No. 10) and the conventional cell measures 5.530, 7.812 and 8.803 Å, with angles of 90.00, 108.35 and 90.00 degrees. The distinct sites, in fractional coordinates, are Nd at (0.000, 0.239, 0.000), Nd at (0.332, 0.248, 0.660), Ho at (0.500, 0.500, 0.000), Mg at (0.159, 0.500, 0.323), Mg at (0.164, 0.000, 0.334) and Mg at (0.500, 0.000, 0.000).

## NdHoMg3 (PBE)

Data for a geometry-optimized NdHoMg3 structure.

The space group is Cmcm (No. 63) and the conventional cell measures 6.379, 15.239 and 5.871 Å, with angles of 90.00, 90.00 and 90.00 degrees. The distinct sites, in fractional coordinates, are Nd at (0.000, 0.105, 0.250), Ho at (0.000, 0.309, 0.750), Mg at (0.000, 0.500, 0.000) and Mg at (0.241, 0.360, 0.250).

For the records above, the corresponding ΔE_f values read 0.13, -0.07, -0.07, -0.04, -0.06, 0.07 eV/atom.